A plane-wave DFT calculation with GGA-PBE was carried out for an optimized crystal structure of Nd4ErSn4.

Values from the calculation:
Formation enthalpy at 0 K ... -47.3 kJ per mole of atoms
Calculated volume ... 292 Å³/f.u.
Total DFT energy (no corrections) ... -88.11 eV/cell
Spin magnetization ... 0.00 μB/f.u.
Crystal system ... tetragonal

Structure (POSCAR):
```
Nd4ErSn4
1.0
9.4926 0.0000 0.0000
0.0000 9.4926 0.0000
0.0000 0.0000 6.4745
Nd Er Sn
8 2 8
Direct
0.0356 0.6700 0.1137 Nd
0.1700 0.9644 0.6137 Nd
0.3300 0.5356 0.6137 Nd
0.4644 0.8300 0.1137 Nd
0.5356 0.1700 0.8863 Nd
0.6700 0.4644 0.3863 Nd
0.8300 0.0356 0.3863 Nd
0.9644 0.3300 0.8863 Nd
0.2500 0.2500 0.2500 Er
0.7500 0.7500 0.7500 Er
0.0207 0.6445 0.6065 Sn
0.1445 0.9793 0.1065 Sn
0.3555 0.5207 0.1065 Sn
0.4793 0.8555 0.6065 Sn
0.5207 0.1445 0.3935 Sn
0.6445 0.4793 0.8935 Sn
0.8555 0.0207 0.8935 Sn
0.9793 0.3555 0.3935 Sn
```